TbInPb | PBE | optimized geometry

Summary:
The value obtained for the total magnetization is 0.00 μB/atom. The energy above the most stable polymorph in this dataset comes out at 0.000 eV per atom.

Geometry as POSCAR:
```
TbInPb
1.0
2.2856 -8.1689 0.0000
2.2856 8.1689 0.0000
0.0000 0.0000 4.4367
Tb In Pb
2 2 2
Cartesian
2.2856 6.6570 3.3275
2.2856 -6.6570 1.1092
2.2856 4.0250 1.1092
2.2856 -4.0250 3.3275
2.2856 1.2168 3.3275
2.2856 -1.2168 1.1092
```